Tl2CoCl: single point on PBEsol structure, meta-GGA SCAN.

Summary:
raw total energy: -169.592 eV/cell
space-group type: P4/mmm, No. 123
DOS(E_F): 1.11 states/eV/cell
E_form (uncorrected): 0.1018 eV per atom
polymorph energy (0 for the lowest one): 0.146 eV per atom

Unit cell a=3.0752 b=5.1581 c=5.1581 alpha=90.00 beta=90.00 gamma=90.00
With the nearest neighbours (Å) after each atom.
Atoms (fractional coordinates):
Tl (0.0000, 0.0000, 0.5000)  4 Cl 3.00, 4 Co 3.00, 2 Tl 3.08
Tl (0.0000, 0.5000, 0.0000)  4 Cl 3.00, 4 Co 3.00, 2 Tl 3.08
Cl (0.5000, 0.5000, 0.5000)  8 Tl 3.00, 2 Cl 3.08
Co (0.5000, 0.0000, 0.0000)  8 Tl 3.00, 2 Co 3.08